# 1
A geometry-optimized CsZrBeIn2 structure. Source: Alexandria via LeMat-Bulk, functional PBE.

a b c (Å): 5.6671 6.6211 5.6671
angles (deg): 90.00 90.00 90.00
Last column: nearest neighbours and their distance in Å.
Positions (direct):
In  0.0000  0.0000  0.5000  2 Zr 2.83
In  0.5000  0.0000  0.0000  2 Zr 2.83
Be  0.5000  0.5000  0.5000  4 Cs 4.01, 8 In 4.36
Zr  0.0000  0.0000  0.0000  4 In 2.83
Cs  0.0000  0.5000  0.0000  2 Zr 3.31

Total DFT energy (no corrections) (eV for the cell shown): -12.5
Total magnetic moment (μB/f.u.): 1.55
N(E_F) (states/eV/f.u.): 6.107
ΔE_f (eV per atom): 1.23

# 2
A geometry-optimized AcAlGa2Au structure. Source: Alexandria via LeMat-Bulk, functional PBE.

a b c (Å): 4.4520 4.4948 6.3413
angles (deg): 110.76 110.55 90.00
Last column: nearest neighbours and their distance in Å.
Positions (direct):
Au  0.8165  0.8165  0.6330  2 Al 2.59, 3 Ga 2.61-2.62
Ga  0.0536  0.0536  0.1072  1 Au 2.61, 2 Ga 2.70, 2 Al 2.74
Ga  0.6931  0.1931  0.3862  2 Au 2.62, 2 Ga 2.70
Ac  0.4528  0.4528  0.9055  8 Ga 3.35-3.62, 4 Al 3.48-3.61, 4 Au 3.50
Al  0.1962  0.6962  0.3923  2 Au 2.59, 2 Ga 2.74

Total DFT energy (no corrections) (eV for the cell shown): -20.4
Total magnetic moment (μB/f.u.): 0.00
N(E_F) (states/eV/f.u.): 1.660
ΔE_f (eV per atom): -0.64

Copy entry 1 word for word.
A geometry-optimized CsZrBeIn2 structure. Source: Alexandria via LeMat-Bulk, functional PBE.

a b c (Å): 5.6671 6.6211 5.6671
angles (deg): 90.00 90.00 90.00
Last column: nearest neighbours and their distance in Å.
Positions (direct):
In  0.0000  0.0000  0.5000  2 Zr 2.83
In  0.5000  0.0000  0.0000  2 Zr 2.83
Be  0.5000  0.5000  0.5000  4 Cs 4.01, 8 In 4.36
Zr  0.0000  0.0000  0.0000  4 In 2.83
Cs  0.0000  0.5000  0.0000  2 Zr 3.31

Total DFT energy (no corrections) (eV for the cell shown): -12.5
Total magnetic moment (μB/f.u.): 1.55
N(E_F) (states/eV/f.u.): 6.107
ΔE_f (eV per atom): 1.23